This record from Alexandria describes an optimized crystal structure of Pm3HfTe6. The functional is PBE-GGA.

As for the density: 6.5 g/cm3. The energy is -5.4463 eV per atom.

It has space group Cmc2_1 (No. 36), with a = 12.344 Å, b = 15.180 Å, c = 7.465 Å, α = 90.00°, β = 90.00° and γ = 90.00°. The asymmetric unit holds Pm at (0.000, 0.090, 0.000), Pm at (0.174, 0.406, 0.104), Hf at (0.000, 0.299, 0.647), Te at (0.000, 0.272, 0.281), Te at (0.000, 0.468, 0.794), Te at (0.166, 0.037, 0.299) and Te at (0.172, 0.229, 0.827).